1.
Compound: Zr6TlH
Source: Alexandria
Functional: PBE-GGA
Structure: relaxed

Cell: 5.5690 5.5686 5.5684 Å, 79.59 100.41 79.62°
Sites, in units of the cell vectors:
Zr 0.7698 0.9151 0.6580
Zr 0.2302 0.0849 0.3420
Zr 0.3420 0.7698 0.9151
Zr 0.6580 0.2302 0.0849
Zr 0.0849 0.3420 0.7698
Zr 0.9151 0.6580 0.2302
Tl 0.5000 0.5000 0.5000
H 0.0000 0.0000 0.0000

Values from the calculation:
Uncorrected energy, eV/atom: -7.22
Space group: R-3 (148)

***

2.
Compound: RbNaLiAs
Source: Alexandria
Functional: PBE-GGA
Structure: relaxed

Cell: 5.1929 5.1929 5.1929 Å, 60.00 60.00 60.00°
Sites, in units of the cell vectors:
Rb 0.2500 0.2500 0.2500
Na 0.5000 0.5000 0.5000
Li 0.0000 0.0000 0.0000
As 0.7500 0.7500 0.7500

Values from the calculation:
Polymorph energy (0 for the lowest one), meV per atom: 111.3
Energy of formation from the pure elements, eV per atom: -0.32
Space group: F-43m (216)

***

3.
Compound: LiGa4
Source: Alexandria
Functional: PBE-GGA
Structure: relaxed

Cell: 4.6808 4.6808 4.6808 Å, 90.00 90.00 90.00°
Sites, in units of the cell vectors:
Li 0.5000 0.5000 0.5000
Ga 0.0000 0.0000 0.0000
Ga 0.5000 0.5000 0.0000
Ga 0.0000 0.5000 0.5000
Ga 0.5000 0.0000 0.5000

Values from the calculation:
Polymorph energy (0 for the lowest one), meV per atom: 377.5
Energy of formation from the pure elements, eV per atom: 0.25
Space group: Pm-3m (221)